one) Material: Pm2CdCu3
Method: DFT, GGA-PBE
State: relaxed

Cell: 3.9631 3.9533 8.8292 Å, 102.94 102.97 90.00°
Fractional coordinates of all 6 atoms:
Cu 0.2906 0.7906 0.5812
Pm 0.1325 0.1325 0.2650
Pm 0.8533 0.3533 0.7066
Cu 0.7060 0.7060 0.4120
Cu 0.5597 0.5597 0.1194
Cd 0.4579 0.9579 0.9158

Summary:
M_tot = 0.00 μB per atom



two) Material: Pm2CdCu3
Method: DFT, GGA-PBE
State: relaxed

Cell: 5.8257 5.8257 8.5322 Å, 105.64 105.64 102.14°
Fractional coordinates of all 12 atoms:
Pm 0.7500 0.2500 0.5000
Pm 0.2500 0.7500 0.5000
Cu 0.1611 0.1611 0.3221
Pm 0.7587 0.7587 0.0000
Cu 0.1609 0.6768 0.8378
Pm 0.2413 0.2413 0.0000
Cu 0.8389 0.8389 0.6779
Cd 0.6661 0.6661 0.3321
Cd 0.3339 0.3339 0.6679
Cu 0.8391 0.3232 0.1622
Cu 0.3232 0.8391 0.1622
Cu 0.6768 0.1609 0.8378

Summary:
M_tot = 0.00 μB per atom



one) (0.005 eV/atom below the next structure)



one) Material: PmCd3Cu8
Method: DFT, GGA-PBE
State: relaxed

Cell: 5.0761 5.0761 8.9198 Å, 73.47 73.47 60.00°
Fractional coordinates of all 12 atoms:
Pm 0.8756 0.8756 0.3732
Cu 0.9370 0.9370 0.6911
Cu 0.4396 0.9406 0.1802
Cd 0.4927 0.4927 0.5218
Cu 0.9370 0.4348 0.6911
Cu 0.1871 0.1871 0.4387
Cd 0.3739 0.3739 0.8782
Cu 0.4348 0.9370 0.6911
Cu 0.9406 0.4396 0.1802
Cu 0.4396 0.4396 0.1802
Cu 0.6881 0.6881 0.9356
Cd 0.0038 0.0038 0.9886

Summary:
M_tot = 0.00 μB per atom



two) Material: PmCd3Cu8
Method: DFT, GGA-PBE
State: relaxed

Cell: 5.1278 5.1278 8.2553 Å, 90.00 90.00 120.00°
Fractional coordinates of all 12 atoms:
Cd 0.0000 0.0000 0.9541
Cu 0.3333 0.6667 0.9967
Cu 0.3333 0.6667 0.5000
Cd 0.6667 0.3333 0.0572
Cu 0.6660 0.8330 0.2466
Cu 0.5024 0.4976 0.7558
Cu 0.5024 0.0047 0.7558
Cu 0.9953 0.4976 0.7558
Pm 0.0000 0.0000 0.5647
Cu 0.1670 0.8330 0.2466
Cd 0.6667 0.3333 0.4199
Cu 0.1670 0.3340 0.2466

Summary:
M_tot = 0.00 μB per atom



one) (0.009 eV/atom below the next structure)



one) Material: Pr3Cd2Cu
Method: DFT, GGA-PBE
State: relaxed

Cell: 3.7552 3.7552 11.6688 Å, 90.00 90.00 90.00°
Fractional coordinates of all 6 atoms:
Pr 0.0000 0.0000 0.3538
Pr 0.0000 0.0000 0.6462
Cu 0.5000 0.5000 0.5000
Pr 0.0000 0.0000 0.0000
Cd 0.5000 0.5000 0.8258
Cd 0.5000 0.5000 0.1742

Summary:
M_tot = 0.01 μB per atom



two) Material: Pr3Cd2Cu
Method: DFT, GGA-PBE
State: relaxed

Cell: 5.3253 8.4372 7.7397 Å, 90.00 90.01 71.60°
Fractional coordinates of all 12 atoms:
Pr 0.8276 0.3443 0.2313
Pr 0.1719 0.6557 0.2313
Pr 0.5001 0.0000 0.7594
Pr 0.8281 0.3443 0.7687
Cd 0.0000 0.0000 0.5000
Cd 0.3344 0.3312 0.5000
Pr 0.1724 0.6557 0.7687
Pr 0.4999 0.0000 0.2406
Cu 0.6573 0.6854 0.0000
Cd 0.6656 0.6688 0.5000
Cd 0.0000 0.0000 0.0000
Cu 0.3427 0.3146 0.0000

Summary:
M_tot = 0.09 μB per atom



one) (0.010 eV/atom below the next structure)



one) Material: Pr3CdCu
Method: DFT, GGA-PBE
State: relaxed

Cell: 5.3322 5.3311 10.4689 Å, 90.00 75.25 90.00°
Fractional coordinates of all 10 atoms:
Pr 0.5747 0.2500 0.4989
Pr 0.3906 0.2500 0.8671
Pr 0.2577 0.7500 0.1329
Cu 0.1643 0.2500 0.3198
Pr 0.7599 0.2500 0.1286
Pr 0.0736 0.7500 0.5011
Cd 0.6678 0.7500 0.3127
Cd 0.9805 0.2500 0.6873
Cu 0.4841 0.7500 0.6802
Pr 0.8885 0.7500 0.8714

Summary:
M_tot = 0.02 μB per atom



two) Material: Pr3CdCu
Method: DFT, GGA-PBE
State: relaxed

Cell: 5.8285 7.2832 6.9284 Å, 89.20 99.17 98.50°
Fractional coordinates of all 10 atoms:
Cu 0.3698 0.6113 0.8323
Pr 0.5262 0.8334 0.2093
Pr 0.6324 0.3401 0.0700
Pr 0.9599 0.7872 0.8646
Cu 0.1871 0.4840 0.1258
Pr 0.0669 0.1261 0.3214
Pr 0.5768 0.4419 0.5429
Cd 0.0624 0.6646 0.4210
Cd 0.0619 0.2604 0.7931
Pr 0.4878 0.9943 0.6965

Summary:
M_tot = 0.00 μB per atom



one) (0.057 eV/atom below the next structure)



one) Material: PrCdCu
Method: DFT, GGA-PBE
State: relaxed

Cell: 3.5495 4.7700 4.7700 Å, 120.00 90.00 90.00°
Fractional coordinates of all 3 atoms:
Cu 0.1671 0.0000 0.0000
Pr 0.6665 0.6667 0.3333
Cd 0.1664 0.3333 0.6667

Summary:
M_tot = 0.00 μB per atom



two) Material: PrCdCu
Method: DFT, GGA-PBE
State: relaxed

Cell: 4.7635 4.7635 4.7635 Å, 60.00 60.00 60.00°
Fractional coordinates of all 3 atoms:
Cd 0.5000 0.5000 0.5000
Cu 0.2500 0.2500 0.2500
Pr 0.0000 0.0000 0.0000

Summary:
M_tot = 0.00 μB per atom



three) Material: PrCdCu
Method: DFT, GGA-PBE
State: relaxed

Cell: 7.7801 7.7801 3.9566 Å, 90.00 90.00 120.00°
Fractional coordinates of all 9 atoms:
Cd 0.7514 0.0000 0.0000
Cu 0.3333 0.6667 0.0000
Cd 0.2486 0.2486 0.0000
Pr 0.5882 0.5882 0.5000
Pr 0.0000 0.4118 0.5000
Pr 0.4118 0.0000 0.5000
Cu 0.6667 0.3333 0.0000
Cu 0.0000 0.0000 0.5000
Cd 0.0000 0.7514 0.0000

Summary:
M_tot = 0.00 μB per atom



three) (0.055 eV/atom below the next structure)



one) Material: Pr2CdCu3
Method: DFT, GGA-PBE
State: relaxed

Cell: 4.0221 4.0246 8.8352 Å, 103.17 103.16 90.00°
Fractional coordinates of all 6 atoms:
Pr 0.8548 0.3548 0.7095
Cu 0.7062 0.7062 0.4124
Cd 0.4584 0.9584 0.9169
Pr 0.1320 0.1320 0.2639
Cu 0.2900 0.7900 0.5799
Cu 0.5587 0.5587 0.1173

Summary:
M_tot = 0.00 μB per atom



two) Material: Pr2CdCu3
Method: DFT, GGA-PBE
State: relaxed

Cell: 5.9004 5.9004 8.6190 Å, 106.15 106.15 100.80°
Fractional coordinates of all 12 atoms:
Cu 0.8389 0.3229 0.1618
Cd 0.3341 0.3341 0.6683
Cu 0.3229 0.8389 0.1618
Pr 0.7591 0.7591 0.0000
Pr 0.2500 0.7500 0.5000
Cu 0.1613 0.1613 0.3225
Cu 0.1611 0.6771 0.8382
Cd 0.6659 0.6659 0.3317
Pr 0.2409 0.2409 0.0000
Cu 0.8387 0.8387 0.6775
Cu 0.6771 0.1611 0.8382
Pr 0.7500 0.2500 0.5000

Summary:
M_tot = 0.00 μB per atom



one) (0.007 eV/atom below the next structure)



one) Material: PrCd3Cu8
Method: DFT, GGA-PBE
State: relaxed

Cell: 5.1386 5.1386 8.3102 Å, 90.00 90.00 120.00°
Fractional coordinates of all 12 atoms:
Pr 0.0000 0.0000 0.5659
Cu 0.3333 0.6667 0.9973
Cd 0.6667 0.3333 0.4150
Cu 0.1674 0.8326 0.2453
Cd 0.6667 0.3333 0.0563
Cu 0.5022 0.4978 0.7581
Cu 0.1674 0.3347 0.2453
Cu 0.9955 0.4978 0.7581
Cu 0.5022 0.0045 0.7581
Cd 0.0000 0.0000 0.9560
Cu 0.3333 0.6667 0.4993
Cu 0.6653 0.8326 0.2453

Summary:
M_tot = 0.00 μB per atom



two) Material: PrCd3Cu8
Method: DFT, GGA-PBE
State: relaxed

Cell: 5.0861 5.0861 8.9842 Å, 73.56 73.56 60.00°
Fractional coordinates of all 12 atoms:
Cu 0.9368 0.4338 0.6925
Pr 0.8758 0.8758 0.3727
Cu 0.4403 0.9419 0.1774
Cd 0.4909 0.4909 0.5272
Cu 0.9419 0.4403 0.1774
Cu 0.1870 0.1870 0.4390
Cd 0.3736 0.3736 0.8792
Cu 0.9368 0.9368 0.6925
Cu 0.4338 0.9368 0.6925
Cd 0.0043 0.0043 0.9872
Cu 0.6884 0.6884 0.9349
Cu 0.4403 0.4403 0.1774

Summary:
M_tot = 0.00 μB per atom



two) (0.008 eV/atom below the next structure)



one) Material: Cd4CuPt
Method: DFT, GGA-PBE
State: relaxed

Cell: 5.4109 5.4109 5.4109 Å, 104.04 104.04 120.99°
Fractional coordinates of all 6 atoms:
Pt 0.5000 0.5000 0.0000
Cu 0.0000 0.0000 0.0000
Cd 0.5862 0.0862 0.1723
Cd 0.4138 0.5862 0.5000
Cd 0.9138 0.4138 0.8277
Cd 0.0862 0.9138 0.5000

Summary:
M_tot = 0.00 μB per atom



two) Material: Cd4CuPt
Method: DFT, GGA-PBE
State: relaxed

Cell: 5.5183 5.5183 5.5183 Å, 60.00 60.00 60.00°
Fractional coordinates of all 6 atoms:
Cd 0.3749 0.3749 0.3749
Cu 0.7500 0.7500 0.7500
Pt 0.0000 0.0000 0.0000
Cd 0.8754 0.3749 0.3749
Cd 0.3749 0.8754 0.3749
Cd 0.3749 0.3749 0.8754

Summary:
M_tot = 0.00 μB per atom



one) (0.425 eV/atom below the next structure)